DFT (PBE-GGA) results for crystalline Mg4AlAg2 at its relaxed geometry.

The space group is R-3m (No. 166, hexagonal axes) and the conventional cell measures 4.6487, 4.6487 and 25.6743 Å, with angles of 90.00, 90.00 and 120.00 degrees. The distinct sites, in fractional coordinates, are Mg at (0.0000, 0.0000, 0.1188), Mg at (0.0000, 0.0000, 0.2937), Al at (0.0000, 0.0000, 0.5000) and Ag at (0.0000, 0.0000, 0.4021).

The calculation puts the energy above the most stable polymorph in this dataset at 0.102 eV per atom. The calculation puts the magnetization at 0.000 μB/atom. For the final energy, the calculation gives -47.0 eV for the cell shown. For the energy of formation from the pure elements, the calculation gives 21 meV per atom.


DFT (PBE-GGA) results for crystalline Mg2Al3Ag5 at its relaxed geometry.

The space group is C2/m (No. 12) and the conventional cell measures 9.875, 4.434 and 8.458 Å, with angles of 90.00, 91.07 and 90.00 degrees. The distinct sites, in fractional coordinates, are Mg at (0.045, 0.000, 0.219), Al at (0.000, 0.500, 0.500), Al at (0.244, 0.000, 0.900), Ag at (0.000, 0.500, 0.000), Ag at (0.160, 0.000, 0.535) and Ag at (0.171, 0.500, 0.749).

The calculation puts the magnetization at 0.000 μB/atom. For the final energy, the calculation gives -58.6 eV for the cell shown. For the energy of formation from the pure elements, the calculation gives -62 meV per atom.


DFT (PBE-GGA) results for crystalline MgAl2Ag6 at its relaxed geometry.

The space group is P4_2/mnm (No. 136) and the conventional cell measures 8.517, 8.517 and 4.290 Å, with angles of 90.00, 90.00 and 90.00 degrees. The distinct sites, in fractional coordinates, are Mg at (0.000, 0.000, 0.000), Al at (0.189, 0.189, 0.500), Ag at (0.015, 0.328, 0.000) and Ag at (0.146, 0.854, 0.500).

The calculation puts the energy above the most stable polymorph in this dataset at 0.000 eV per atom. The calculation puts the magnetization at 0.000 μB/atom. For the final energy, the calculation gives -54.0 eV for the cell shown. For the energy of formation from the pure elements, the calculation gives -92 meV per atom.